[1]
{"formula": "CdIn2Sb2", "functional": "PBE", "state": "optimized geometry", "crystal_system": "tetragonal", "volume_a3_per_cell": 279.5, "formation_energy_uncorrected_ev_per_atom": 0.14, "de_polymorph_ev_per_atom": 0.045, "dos_ef_per_ev_cell": 5.5, "e_tot_ev_per_atom": -2.784, "lattice": [[8.3493, 0.0000, 0.0000], [0.0000, 8.3493, 0.0000], [0.0000, 0.0000, 4.0098]], "species": ["Cd", "Cd", "In", "In", "In", "In", "Sb", "Sb", "Sb", "Sb"], "fractional_positions": [[0.0000, 0.0000, 0.0000], [0.5000, 0.5000, 0.0000], [0.1490, 0.3510, 0.0000], [0.3510, 0.8510, 0.0000], [0.6490, 0.1490, 0.0000], [0.8510, 0.6490, 0.0000], [0.1459, 0.6459, 0.5000], [0.3541, 0.1459, 0.5000], [0.6459, 0.8541, 0.5000], [0.8541, 0.3541, 0.5000]]}

[2]
{"formula": "CdIn14Sb", "functional": "PBE", "state": "optimized geometry", "crystal_system": "orthorhombic", "volume_a3_per_cell": 433.8, "formation_energy_uncorrected_ev_per_atom": 0.03, "dos_ef_per_ev_cell": 7.4, "e_tot_ev_per_atom": -2.686, "lattice": [[11.0521, 0.0000, 0.0000], [0.0000, 3.3457, 5.8654], [0.0000, -3.3457, 5.8654]], "species": ["Cd", "In", "In", "In", "In", "In", "In", "In", "In", "In", "In", "In", "In", "In", "In", "Sb"], "fractional_positions": [[0.0000, 0.0000, 0.0000], [0.0000, 0.4983, 0.9895], [0.0000, 0.9895, 0.4983], [0.2482, 0.1537, 0.6626], [0.2482, 0.6626, 0.1537], [0.2498, 0.1586, 0.1586], [0.2500, 0.6562, 0.6562], [0.5000, 0.3214, 0.8260], [0.5000, 0.3238, 0.3238], [0.5000, 0.8225, 0.8225], [0.5000, 0.8260, 0.3214], [0.7502, 0.1586, 0.1586], [0.7500, 0.6562, 0.6562], [0.7518, 0.1537, 0.6626], [0.7518, 0.6626, 0.1537], [0.0000, 0.4855, 0.4855]]}

[3]
{"formula": "Cd3InSb", "functional": "PBE", "state": "optimized geometry", "crystal_system": "cubic", "volume_a3_per_cell": 177.8, "formation_energy_uncorrected_ev_per_atom": 0.38, "de_polymorph_ev_per_atom": 0.000, "dos_ef_per_ev_cell": 2.1, "e_tot_ev_per_atom": -1.543, "lattice": [[5.6232, 0.0000, 0.0000], [0.0000, 5.6232, 0.0000], [0.0000, 0.0000, 5.6232]], "species": ["Cd", "Cd", "Cd", "In", "Sb"], "fractional_positions": [[0.0000, 0.0000, 0.5000], [0.0000, 0.5000, 0.0000], [0.5000, 0.0000, 0.0000], [0.5000, 0.5000, 0.5000], [0.0000, 0.0000, 0.0000]]}

[4]
{"formula": "CdIn3Sb", "functional": "PBE", "state": "optimized geometry", "crystal_system": "cubic", "volume_a3_per_cell": 163.9, "formation_energy_uncorrected_ev_per_atom": 0.38, "de_polymorph_ev_per_atom": 0.000, "dos_ef_per_ev_cell": 1.6, "e_tot_ev_per_atom": -2.266, "lattice": [[5.4725, 0.0000, 0.0000], [0.0000, 5.4725, 0.0000], [0.0000, 0.0000, 5.4725]], "species": ["Cd", "In", "In", "In", "Sb"], "fractional_positions": [[0.0000, 0.0000, 0.0000], [0.0000, 0.0000, 0.5000], [0.0000, 0.5000, 0.0000], [0.5000, 0.0000, 0.0000], [0.5000, 0.5000, 0.5000]]}

[5]
{"formula": "CdIn2Sb2", "functional": "PBE", "state": "optimized geometry", "crystal_system": "tetragonal", "volume_a3_per_cell": 307.0, "formation_energy_uncorrected_ev_per_atom": 0.15, "de_polymorph_ev_per_atom": 0.047, "dos_ef_per_ev_cell": 4.7, "e_tot_ev_per_atom": -2.782, "lattice": [[4.4481, 0.0000, 0.0000], [0.0000, 4.4481, 0.0000], [0.0000, 0.0000, 15.5181]], "species": ["Cd", "Cd", "In", "In", "In", "In", "Sb", "Sb", "Sb", "Sb"], "fractional_positions": [[0.0000, 0.0000, 0.0000], [0.5000, 0.5000, 0.5000], [0.0000, 0.0000, 0.4016], [0.0000, 0.0000, 0.5984], [0.5000, 0.5000, 0.0984], [0.5000, 0.5000, 0.9016], [0.0000, 0.5000, 0.2500], [0.0000, 0.5000, 0.7500], [0.5000, 0.0000, 0.2500], [0.5000, 0.0000, 0.7500]]}

[6]
{"formula": "CdInSbSe", "functional": "PBE", "state": "optimized geometry", "crystal_system": "monoclinic", "volume_a3_per_cell": 265.7, "formation_energy_uncorrected_ev_per_atom": -0.35, "dos_ef_per_ev_cell": 0.6, "e_tot_ev_per_atom": -3.162, "lattice": [[7.9026, 0.0000, 0.0000], [0.0000, 4.5625, 0.0000], [-2.6366, 0.0000, 7.3699]], "species": ["Cd", "Cd", "In", "In", "Sb", "Sb", "Se", "Se"], "fractional_positions": [[0.0000, 0.0000, 0.0000], [0.5000, 0.5000, 0.0000], [0.0042, 0.5000, 0.5171], [0.5042, 0.0000, 0.5171], [0.1263, 0.0000, 0.3837], [0.6263, 0.5000, 0.3837], [0.1271, 0.5000, 0.8818], [0.6271, 0.0000, 0.8818]]}

[7]
{"formula": "Cd2InTcSb", "functional": "PBE", "state": "optimized geometry", "crystal_system": "tetragonal", "volume_a3_per_cell": 145.7, "formation_energy_uncorrected_ev_per_atom": 1.08, "dos_ef_per_ev_cell": 2.6, "e_tot_ev_per_atom": -2.728, "lattice": [[5.2665, 0.0000, 0.0000], [0.0000, 5.2665, 0.0000], [0.0000, 0.0000, 5.2525]], "species": ["Cd", "Cd", "In", "Tc", "Sb"], "fractional_positions": [[0.0000, 0.5000, 0.0000], [0.5000, 0.0000, 0.0000], [0.0000, 0.0000, 0.0000], [0.0000, 0.0000, 0.5000], [0.5000, 0.5000, 0.5000]]}

[8]
{"formula": "CdInSbTe2", "functional": "PBE", "state": "optimized geometry", "crystal_system": "tetragonal", "volume_a3_per_cell": 180.9, "formation_energy_uncorrected_ev_per_atom": 0.40, "de_polymorph_ev_per_atom": 0.000, "dos_ef_per_ev_cell": 3.9, "e_tot_ev_per_atom": -2.412, "lattice": [[5.7589, 0.0000, 0.0000], [0.0000, 5.7589, 0.0000], [0.0000, 0.0000, 5.4556]], "species": ["Cd", "In", "Sb", "Te", "Te"], "fractional_positions": [[0.0000, 0.0000, 0.0000], [0.5000, 0.5000, 0.5000], [0.0000, 0.0000, 0.5000], [0.0000, 0.5000, 0.0000], [0.5000, 0.0000, 0.0000]]}

[9]
{"formula": "CdIn2SbTe2", "functional": "PBE", "state": "optimized geometry", "crystal_system": "orthorhombic", "volume_a3_per_cell": 460.1, "formation_energy_uncorrected_ev_per_atom": -0.17, "dos_ef_per_ev_cell": 7.7, "e_tot_ev_per_atom": -2.969, "lattice": [[6.9601, -4.0877, 0.0000], [6.9601, 4.0877, 0.0000], [0.0000, 0.0000, 8.0852]], "species": ["Cd", "Cd", "In", "In", "In", "In", "Sb", "Sb", "Te", "Te", "Te", "Te"], "fractional_positions": [[0.1698, 0.8302, 0.5000], [0.8302, 0.1698, 0.0000], [0.1626, 0.5239, 0.9954], [0.4761, 0.8374, 0.9954], [0.5239, 0.1626, 0.4954], [0.8374, 0.4761, 0.4954], [0.1443, 0.8557, 0.8498], [0.8557, 0.1443, 0.3498], [0.1738, 0.4896, 0.3659], [0.4896, 0.1738, 0.8659], [0.5104, 0.8262, 0.3659], [0.8262, 0.5104, 0.8659]]}

[10]
{"formula": "CdInSbW2", "functional": "PBE", "state": "optimized geometry", "crystal_system": "tetragonal", "volume_a3_per_cell": 137.0, "formation_energy_uncorrected_ev_per_atom": 2.40, "dos_ef_per_ev_cell": 6.0, "e_tot_ev_per_atom": -4.336, "lattice": [[5.0384, 0.0000, 0.0000], [0.0000, 5.0384, 0.0000], [0.0000, 0.0000, 5.3975]], "species": ["Cd", "In", "Sb", "W", "W"], "fractional_positions": [[0.0000, 0.0000, 0.0000], [0.5000, 0.5000, 0.5000], [0.5000, 0.5000, 0.0000], [0.0000, 0.5000, 0.5000], [0.5000, 0.0000, 0.5000]]}

[11]
{"formula": "CdInSb2W", "functional": "PBE", "state": "optimized geometry", "crystal_system": "tetragonal", "volume_a3_per_cell": 160.0, "formation_energy_uncorrected_ev_per_atom": 1.50, "dos_ef_per_ev_cell": 2.9, "e_tot_ev_per_atom": -3.469, "lattice": [[5.4821, 0.0000, 0.0000], [0.0000, 5.4821, 0.0000], [0.0000, 0.0000, 5.3232]], "species": ["Cd", "In", "Sb", "Sb", "W"], "fractional_positions": [[0.0000, 0.0000, 0.0000], [0.5000, 0.5000, 0.5000], [0.0000, 0.5000, 0.0000], [0.5000, 0.0000, 0.0000], [0.0000, 0.0000, 0.5000]]}

[12]
{"formula": "ZnCdIn2Sb", "functional": "PBE", "state": "optimized geometry", "crystal_system": "tetragonal", "volume_a3_per_cell": 140.2, "formation_energy_uncorrected_ev_per_atom": 0.28, "dos_ef_per_ev_cell": 3.8, "e_tot_ev_per_atom": -2.076, "lattice": [[5.2133, 0.0000, 0.0000], [0.0000, 5.2133, 0.0000], [0.0000, 0.0000, 5.1601]], "species": ["Zn", "Cd", "In", "In", "Sb"], "fractional_positions": [[0.0000, 0.0000, 0.0000], [0.0000, 0.0000, 0.5000], [0.0000, 0.5000, 0.0000], [0.5000, 0.0000, 0.0000], [0.5000, 0.5000, 0.5000]]}